Below is a relaxed structure of BiPtPb, with properties calculated at the GGA-PBE level.

Results
- space group = Cmce, No. 64
- energy (eV/cell) = -55.71
- DOS(E_F) (states/eV/f.u.) = 1.072

Lattice parameters (Å, degrees): 6.4954 7.2397 7.3914 90.00 90.00 116.65
Sites, in units of the cell vectors:
Pt1 0.6159 0.2318 0.5614
Pt2 0.8841 0.7682 0.0614
Pt3 0.3841 0.7682 0.4386
Pt4 0.1159 0.2318 0.9386
Pb1 0.2979 0.0958 0.2500
Pb2 0.2021 0.9042 0.7500
Pb3 0.7021 0.9042 0.7500
Pb4 0.7979 0.0958 0.2500
Bi1 0.8154 0.6307 0.4227
Bi2 0.6846 0.3693 0.9227
Bi3 0.1846 0.3693 0.5773
Bi4 0.3154 0.6307 0.0773



Below is a relaxed structure of BiPt2Pb2, with properties calculated at the GGA-PBE level.

Results
- space group = P2_1/m, No. 11
- energy (eV/cell) = -48.16
- DOS(E_F) (states/eV/f.u.) = 2.092

Lattice parameters (Å, degrees): 4.2484 5.8385 10.5560 95.32 90.00 90.00
Sites, in units of the cell vectors:
Bi1 0.2500 0.6599 0.1998
Bi2 0.7500 0.3401 0.8002
Pt1 0.2500 0.2810 0.6215
Pt2 0.7500 0.7190 0.3785
Pt3 0.2500 0.3309 0.9879
Pt4 0.7500 0.6691 0.0121
Pb1 0.2500 0.8612 0.8733
Pb2 0.7500 0.1388 0.1267
Pb3 0.2500 0.7628 0.5564
Pb4 0.7500 0.2372 0.4436



Below is a relaxed structure of BiPt2Pb2, with properties calculated at the GGA-PBE level.

Results
- space group = I4/mmm, No. 139
- energy (eV/cell) = -23.05
- DOS(E_F) (states/eV/f.u.) = 4.671

Lattice parameters (Å, degrees): 4.4698 4.4698 6.9825 71.33 71.33 90.00
Sites, in units of the cell vectors:
Pb1 0.7500 0.2500 0.5000
Pb2 0.2500 0.7500 0.5000
Bi1 0.0000 0.0000 0.0000
Pt1 0.3948 0.3948 0.2105
Pt2 0.6052 0.6052 0.7895



Below is a relaxed structure of Bi5Pt2Pb12, with properties calculated at the GGA-PBE level.

Results
- space group = C2/m, No. 12
- energy (eV/cell) = -75.94
- DOS(E_F) (states/eV/f.u.) = 10.012

Lattice parameters (Å, degrees): 11.2635 11.2635 9.3003 59.36 59.36 37.67
Sites, in units of the cell vectors:
Bi1 0.7676 0.7676 0.4948
Bi2 0.7582 0.7582 0.0007
Bi3 0.0000 0.0000 0.5000
Bi4 0.2418 0.2418 0.9993
Bi5 0.2324 0.2324 0.5052
Pt1 0.6902 0.3098 0.0000
Pt2 0.3098 0.6902 0.0000
Pb1 0.9605 0.9605 0.2184
Pb2 0.4203 0.8854 0.8709
Pb3 0.8854 0.4203 0.8709
Pb4 0.4121 0.8763 0.3698
Pb5 0.8763 0.4121 0.3698
Pb6 0.4952 0.4952 0.7334
Pb7 0.5048 0.5048 0.2666
Pb8 0.5879 0.1237 0.6302
Pb9 0.1237 0.5879 0.6302
Pb10 0.5797 0.1146 0.1291
Pb11 0.1146 0.5797 0.1291
Pb12 0.0395 0.0395 0.7816



Below is a relaxed structure of Bi2PtPb8, with properties calculated at the GGA-PBE level.

Results
- space group = C2/m, No. 12
- energy (eV/cell) = -43.38
- DOS(E_F) (states/eV/f.u.) = 4.263

Lattice parameters (Å, degrees): 5.3446 7.1676 10.0422 111.87 105.43 90.00
Sites, in units of the cell vectors:
Bi1 0.8328 0.2807 0.6655
Bi2 0.1672 0.7193 0.3345
Pt1 0.5000 0.0000 0.0000
Pb1 0.3950 0.5816 0.7901
Pb2 0.6443 0.9766 0.2887
Pb3 0.7908 0.6940 0.5817
Pb4 0.9943 0.2218 0.9886
Pb5 0.2092 0.3060 0.4183
Pb6 0.3557 0.0234 0.7113
Pb7 0.6050 0.4184 0.2099
Pb8 0.0057 0.7782 0.0114



Below is a relaxed structure of Bi2PtPb, with properties calculated at the GGA-PBE level.

Results
- space group = P4/mmm, No. 123
- energy (eV/cell) = -17.80
- DOS(E_F) (states/eV/f.u.) = 2.102

Lattice parameters (Å, degrees): 3.4384 3.4384 9.1215 90.00 90.00 90.00
Sites, in units of the cell vectors:
Pb1 0.5000 0.5000 0.5000
Bi1 0.0000 0.0000 0.8054
Bi2 0.0000 0.0000 0.1946
Pt1 0.5000 0.5000 0.0000



Below is a relaxed structure of BiPtPb, with properties calculated at the GGA-PBE level.

Results
- space group = F-43m, No. 216
- energy (eV/cell) = -14.19
- DOS(E_F) (states/eV/f.u.) = 2.115

Lattice parameters (Å, degrees): 4.8356 4.8356 4.8356 60.00 60.00 60.00
Sites, in units of the cell vectors:
Pb1 0.5000 0.5000 0.5000
Bi1 0.0000 0.0000 0.0000
Pt1 0.2500 0.2500 0.2500



Below is a relaxed structure of Bi2PtPb, with properties calculated at the GGA-PBE level.

Results
- space group = I-42d, No. 122
- energy (eV/cell) = -34.36
- DOS(E_F) (states/eV/f.u.) = 1.383

Lattice parameters (Å, degrees): 6.5716 6.5716 8.2513 66.53 66.53 90.00
Sites, in units of the cell vectors:
Pb1 0.0000 0.0000 0.0000
Pb2 0.7500 0.2500 0.5000
Bi1 0.5681 0.1250 0.2500
Bi2 0.1819 0.6250 0.2500
Bi3 0.3750 0.4319 0.7500
Bi4 0.8750 0.8181 0.7500
Pt1 0.5000 0.5000 0.0000
Pt2 0.2500 0.7500 0.5000



Below is a relaxed structure of Bi2Pt2Pb, with properties calculated at the GGA-PBE level.

Results
- space group = P4/mbm, No. 127
- energy (eV/cell) = -46.63
- DOS(E_F) (states/eV/f.u.) = 2.262

Lattice parameters (Å, degrees): 8.6046 8.6046 3.2716 90.00 90.00 90.00
Sites, in units of the cell vectors:
Pb1 0.0000 0.0000 0.0000
Pb2 0.5000 0.5000 0.0000
Bi1 0.3602 0.8602 0.0000
Bi2 0.8602 0.6398 0.0000
Bi3 0.6398 0.1398 0.0000
Bi4 0.1398 0.3602 0.0000
Pt1 0.1549 0.6549 0.5000
Pt2 0.6549 0.8451 0.5000
Pt3 0.8451 0.3451 0.5000
Pt4 0.3451 0.1549 0.5000



Below is a relaxed structure of Bi2PtPb, with properties calculated at the GGA-PBE level.

Results
- space group = R-3m, No. 166
- energy (eV/cell) = -17.74
- DOS(E_F) (states/eV/f.u.) = 1.688

Lattice parameters (Å, degrees): 3.8008 3.8008 10.3127 79.38 79.38 60.00
Sites, in units of the cell vectors:
Pb1 0.0000 0.0000 0.0000
Bi1 0.1100 0.1100 0.6700
Bi2 0.8900 0.8900 0.3300
Pt1 0.5000 0.5000 0.5000



Below is a relaxed structure of Bi2Pt2Pb, with properties calculated at the GGA-PBE level.

Results
- space group = I4/mmm, No. 139
- energy (eV/cell) = -23.95
- DOS(E_F) (states/eV/f.u.) = 2.678

Lattice parameters (Å, degrees): 3.9185 3.9185 9.0395 77.48 77.48 90.00
Sites, in units of the cell vectors:
Pb1 0.0000 0.0000 0.0000
Bi1 0.3693 0.3693 0.2615
Bi2 0.6307 0.6307 0.7385
Pt1 0.7500 0.2500 0.5000
Pt2 0.2500 0.7500 0.5000



Below is a relaxed structure of BiPtPb, with properties calculated at the GGA-PBE level.

Results
- space group = P3m1, No. 156
- energy (eV/cell) = -14.14
- DOS(E_F) (states/eV/f.u.) = 1.623

Lattice parameters (Å, degrees): 5.9356 3.9885 3.9885 120.00 90.00 90.00
Sites, in units of the cell vectors:
Pb1 0.7263 0.6667 0.3333
Bi1 0.2673 0.3333 0.6667
Pt1 0.0064 0.0000 0.0000



Below is a relaxed structure of BiPtPb6, with properties calculated at the GGA-PBE level.

Results
- space group = C2/m, No. 12
- energy (eV/cell) = -31.59
- DOS(E_F) (states/eV/f.u.) = 3.212

Lattice parameters (Å, degrees): 7.0858 6.9694 6.9050 59.69 73.43 55.59
Sites, in units of the cell vectors:
Bi1 0.0000 0.0000 0.0000
Pt1 0.5000 0.5000 0.0000
Pb1 0.7507 0.5002 0.5553
Pb2 0.7507 0.0555 0.4447
Pb3 0.2493 0.9445 0.5553
Pb4 0.2493 0.4998 0.4447
Pb5 0.7226 0.7229 0.0000
Pb6 0.2774 0.2771 0.0000



Below is a relaxed structure of BiPt2Pb2, with properties calculated at the GGA-PBE level.

Results
- space group = I4/mmm, No. 139
- energy (eV/cell) = -23.47
- DOS(E_F) (states/eV/f.u.) = 2.864

Lattice parameters (Å, degrees): 3.8134 3.8134 9.4827 78.40 78.40 90.00
Sites, in units of the cell vectors:
Pb1 0.3718 0.3718 0.2563
Pb2 0.6282 0.6282 0.7437
Bi1 0.0000 0.0000 0.0000
Pt1 0.7500 0.2500 0.5000
Pt2 0.2500 0.7500 0.5000



Below is a relaxed structure of Bi5Pt3Pb, with properties calculated at the GGA-PBE level.

Results
- space group = C2/m, No. 12
- energy (eV/cell) = -84.06
- DOS(E_F) (states/eV/f.u.) = 3.677

Lattice parameters (Å, degrees): 7.7245 7.7245 10.0229 73.56 73.56 71.20
Sites, in units of the cell vectors:
Bi1 0.9812 0.3842 0.3733
Bi2 0.3048 0.6952 0.0000
Bi3 0.7685 0.7685 0.0287
Bi4 0.4382 0.4382 0.3698
Bi5 0.5618 0.5618 0.6302
Bi6 0.2315 0.2315 0.9713
Bi7 0.3842 0.9812 0.3733
Bi8 0.6952 0.3048 0.0000
Bi9 0.0188 0.6158 0.6267
Bi10 0.6158 0.0188 0.6267
Pt1 0.6697 0.6697 0.8248
Pt2 0.6676 0.6676 0.3198
Pt3 0.0000 0.0000 0.0000
Pt4 0.0000 0.0000 0.5000
Pt5 0.3303 0.3303 0.1752
Pt6 0.3324 0.3324 0.6802
Pb1 0.0983 0.0983 0.7047
Pb2 0.9017 0.9017 0.2953



Below is a relaxed structure of Bi2PtPb, with properties calculated at the GGA-PBE level.

Results
- space group = R3m, No. 160
- energy (eV/cell) = -17.92
- DOS(E_F) (states/eV/f.u.) = 1.925

Lattice parameters (Å, degrees): 4.3023 4.3023 7.8216 74.04 74.04 60.00
Sites, in units of the cell vectors:
Bi1 0.0585 0.0585 0.8244
Bi2 0.2717 0.2717 0.1850
Pt1 0.6634 0.6634 0.0097
Pb1 0.5064 0.5064 0.4809



Below is a relaxed structure of Bi2Pt2Pb, with properties calculated at the GGA-PBE level.

Results
- space group = P4/mbm, No. 127
- energy (eV/cell) = -48.15
- DOS(E_F) (states/eV/f.u.) = 2.331

Lattice parameters (Å, degrees): 8.0262 8.0262 3.6972 90.00 90.00 90.00
Sites, in units of the cell vectors:
Pb1 0.0000 0.0000 0.0000
Pb2 0.5000 0.5000 0.0000
Bi1 0.1605 0.6605 0.5000
Bi2 0.6605 0.8395 0.5000
Bi3 0.8395 0.3395 0.5000
Bi4 0.3395 0.1605 0.5000
Pt1 0.3707 0.8707 0.0000
Pt2 0.8707 0.6293 0.0000
Pt3 0.6293 0.1293 0.0000
Pt4 0.1293 0.3707 0.0000



Below is a relaxed structure of Bi3PtPb6, with properties calculated at the GGA-PBE level.

Results
- space group = P-1, No. 2
- energy (eV/cell) = -80.39
- DOS(E_F) (states/eV/f.u.) = 4.128

Lattice parameters (Å, degrees): 6.4048 8.2829 14.1942 116.31 113.44 77.61
Sites, in units of the cell vectors:
Bi1 0.3272 0.6500 0.4450
Bi2 0.6728 0.3500 0.5550
Bi3 0.1580 0.3153 0.7588
Bi4 0.8420 0.6847 0.2412
Bi5 0.1393 0.7777 0.9967
Bi6 0.8607 0.2223 0.0033
Pt1 0.3065 0.9561 0.6395
Pt2 0.6935 0.0439 0.3605
Pb1 0.3554 0.3911 0.0478
Pb2 0.6446 0.6089 0.9522
Pb3 0.2628 0.2030 0.2383
Pb4 0.7372 0.7970 0.7617
Pb5 0.2066 0.5753 0.6327
Pb6 0.7934 0.4247 0.3673
Pb7 0.1781 0.1058 0.4697
Pb8 0.8219 0.8942 0.5303
Pb9 0.3238 0.7956 0.2505
Pb10 0.6762 0.2044 0.7495
Pb11 0.2609 0.9757 0.8456
Pb12 0.7391 0.0243 0.1544



Below is a relaxed structure of Bi2Pt2Pb, with properties calculated at the GGA-PBE level.

Results
- space group = P2_1/m, No. 11
- energy (eV/cell) = -49.00
- DOS(E_F) (states/eV/f.u.) = 2.721

Lattice parameters (Å, degrees): 4.3302 5.7316 10.3079 84.15 90.00 90.00
Sites, in units of the cell vectors:
Bi1 0.2500 0.9032 0.8724
Bi2 0.7500 0.0968 0.1276
Bi3 0.2500 0.7542 0.5430
Bi4 0.7500 0.2458 0.4570
Pt1 0.2500 0.2347 0.6329
Pt2 0.7500 0.7653 0.3671
Pt3 0.2500 0.3246 0.9947
Pt4 0.7500 0.6754 0.0053
Pb1 0.2500 0.5924 0.2127
Pb2 0.7500 0.4076 0.7873



Below is a relaxed structure of BiPt2Pb2, with properties calculated at the GGA-PBE level.

Results
- space group = P4/mbm, No. 127
- energy (eV/cell) = -45.34
- DOS(E_F) (states/eV/f.u.) = 3.264

Lattice parameters (Å, degrees): 8.5068 8.5068 3.2925 90.00 90.00 90.00
Sites, in units of the cell vectors:
Pb1 0.3614 0.8614 0.0000
Pb2 0.8614 0.6386 0.0000
Pb3 0.6386 0.1386 0.0000
Pb4 0.1386 0.3614 0.0000
Bi1 0.0000 0.0000 0.0000
Bi2 0.5000 0.5000 0.0000
Pt1 0.1563 0.6563 0.5000
Pt2 0.6563 0.8437 0.5000
Pt3 0.8437 0.3437 0.5000
Pt4 0.3437 0.1563 0.5000